Material: Ac8Pt3CI3
Method: DFT, PBE-GGA
State: optimized geometry

Its calculated volume is 38.4 Å³/atom. The total energy is -155.7 eV per cell.

The space group is C2/m (No. 12) and the conventional cell measures 15.2634, 8.8150 and 9.9698 Å, with angles of 90.00, 120.78 and 90.00 degrees. The distinct sites, in fractional coordinates, are Ac at (0.0184, 0.2339, 0.3211), Ac at (0.2156, 0.0000, 0.6793), Ac at (0.2293, 0.5000, 0.6874), Pt at (0.0000, 0.5000, 0.5000), Pt at (0.2500, 0.2500, 0.5000), C at (0.0000, 0.0000, 0.5000), I at (0.0000, 0.0000, 0.0000) and I at (0.2500, 0.2500, 0.0000).

***

Material: Y2ThAl6
Method: DFT, PBE-GGA
State: optimized geometry

Its calculated volume is 21.8 Å³/atom. As for the formation energy: -4.22 eV/f.u.

The space group is P6/mmm (No. 191) and the conventional cell measures 7.8797, 7.8797 and 3.6548 Å, with angles of 90.00, 90.00 and 120.00 degrees. The distinct sites, in fractional coordinates, are Y at (0.3333, 0.6667, 0.0000), Th at (0.0000, 0.0000, 0.0000) and Al at (0.0000, 0.3346, 0.5000).

***

Material: TaCo2SiC
Method: DFT, PBE-GGA
State: optimized geometry

Its calculated volume is 17.2 Å³/atom. The total energy is -31.9 eV per cell.

The space group is P4/mmm (No. 123) and the conventional cell measures 4.5988, 4.5988 and 4.0688 Å, with angles of 90.00, 90.00 and 90.00 degrees. The distinct sites, in fractional coordinates, are Ta at (0.0000, 0.0000, 0.0000), Co at (0.0000, 0.5000, 0.0000), Si at (0.5000, 0.5000, 0.5000) and C at (0.0000, 0.0000, 0.5000).

***

Material: BeCuAs2
Method: DFT, PBE-GGA
State: optimized geometry

Its calculated volume is 15.3 Å³/atom. As for the formation energy: 2.29 eV/f.u.

The space group is F-43m (No. 216) and the conventional cell measures 6.2596, 6.2596 and 6.2596 Å, with angles of 90.00, 90.00 and 90.00 degrees. The distinct sites, in fractional coordinates, are Be at (0.0000, 0.0000, 0.0000), Cu at (0.2500, 0.2500, 0.7500), As at (0.0000, 0.0000, 0.5000) and As at (0.2500, 0.2500, 0.2500).